# PBE-GGA SiTe2MoIr, optimized geometry
data_SiTe2MoIr
_cell_length_a 5.158
_cell_length_b 5.158
_cell_length_c 4.618
_cell_angle_alpha 90.00
_cell_angle_beta 90.00
_cell_angle_gamma 90.00
_symmetry_space_group_name_H-M 'P 4/m m m'
_symmetry_Int_Tables_number 123
_symmetry_space_group_name_Hall '-P 4 2'
loop_
_atom_site_label
_atom_site_type_symbol
_atom_site_fract_x
_atom_site_fract_y
_atom_site_fract_z
Si1 Si 0.000 0.000 0.000
Te1 Te 0.000 0.500 0.500
Mo1 Mo 0.000 0.000 0.500
Ir1 Ir 0.500 0.500 0.000
# **Calculated volume**: 123 Å³/f.u.
# **Uncorrected formation energy**: 1202 meV/atom
# **Energy**: -5.078 eV per atom